Entry from the Alexandria database: a relaxed RbEuBr2 crystal (PBE).

It has space group R-3m (No. 166, hexagonal axes), with a = 4.6314 Å, b = 4.6314 Å, c = 31.7386 Å, α = 90.00°, β = 90.00° and γ = 120.00°. The inequivalent atoms are Rb at (0.0000, 0.0000, 0.0000), Eu at (0.0000, 0.0000, 0.5000) and Br at (0.0000, 0.0000, 0.1177).

The energy relative to the lowest polymorph listed for this composition is 0.0000 eV per atom. Its volume is 589.6 Å³ per cell. Its energy relative to the elements, uncorrected is -5.9 eV per formula unit.